1.
Sm2BeSiRh6 | PBE | relaxed

The total magnetization is 0.00 μB per cell. The value obtained for the density of states at the Fermi level is 9.081 states/eV/f.u. The final energy is -138.0 eV for the cell shown.

The space group is Immm (No. 71) and the conventional cell measures 6.1933, 6.2096 and 8.7659 Å, with angles of 90.00, 90.00 and 90.00 degrees. Symmetry generates all atoms from Sm at (0.0000, 0.0000, 0.2500), Be at (0.0000, 0.5000, 0.0000), Si at (0.0000, 0.5000, 0.5000), Rh at (0.0000, 0.5000, 0.2425) and Rh at (0.2426, 0.2574, 0.0000).

***

2.
AlW2Se | PBE | relaxed

The total magnetization is 0.00 μB per cell. The value obtained for the density of states at the Fermi level is 2.892 states/eV/f.u. The final energy is -32.6 eV for the cell shown.

The space group is P4mm (No. 99) and the conventional cell measures 3.2304, 3.2304 and 6.0718 Å, with angles of 90.00, 90.00 and 90.00 degrees. Symmetry generates all atoms from Al at (0.0000, 0.0000, 0.0000), W at (0.0000, 0.0000, 0.5008), W at (0.5000, 0.5000, 0.7809) and Se at (0.5000, 0.5000, 0.2821).

***

3.
Tl2Ga10Bi | PBE | relaxed

The total magnetization is 0.00 μB per cell. The value obtained for the density of states at the Fermi level is 5.699 states/eV/f.u. The formation energy comes out at 0.116 eV per atom.

The space group is Pbam (No. 55) and the conventional cell measures 5.7926, 19.2305 and 6.0926 Å, with angles of 90.00, 90.00 and 90.00 degrees. Symmetry generates all atoms from Tl at (0.1775, 0.1911, 0.0000), Ga at (0.0100, 0.0680, 0.5000), Ga at (0.1082, 0.7969, 0.5000), Ga at (0.1284, 0.6621, 0.5000), Ga at (0.1824, 0.3821, 0.2060) and Bi at (0.0000, 0.5000, 0.5000).

***

4.
GeTeIr | PBE | relaxed

The total magnetization is 0.00 μB per cell. The value obtained for the density of states at the Fermi level is 2.407 states/eV/f.u. The final energy is -68.8 eV for the cell shown.

The space group is P2_13 (No. 198) and the conventional cell measures 6.2766, 6.2766 and 6.2766 Å, with angles of 90.00, 90.00 and 90.00 degrees. Symmetry generates all atoms from Ge at (0.1260, 0.1260, 0.1260), Te at (0.1251, 0.3749, 0.6251) and Ir at (0.0125, 0.9875, 0.4875).

***

5.
Pm3Bi4Au3 | PBE | relaxed

The total magnetization is 0.00 μB per cell. The value obtained for the density of states at the Fermi level is 0.175 states/eV/f.u. The formation energy comes out at -0.724 eV per atom.

The space group is I-43d (No. 220) and the conventional cell measures 10.2989, 10.2989 and 10.2989 Å, with angles of 90.00, 90.00 and 90.00 degrees. Symmetry generates all atoms from Pm at (0.0000, 0.2500, 0.8750), Bi at (0.0904, 0.4096, 0.5904) and Au at (0.0000, 0.2500, 0.3750).

***

6.
SrLaHg6 | PBE | relaxed

The total magnetization is 0.00 μB per cell. The value obtained for the density of states at the Fermi level is 4.449 states/eV/f.u. The formation energy comes out at -0.415 eV per atom.

The space group is Pmm2 (No. 25) and the conventional cell measures 5.3392, 7.0495 and 5.7508 Å, with angles of 90.00, 90.00 and 90.00 degrees. Symmetry generates all atoms from Sr at (0.0000, 0.0000, 0.0000), La at (0.5000, 0.5000, 0.3084), Hg at (0.0000, 0.2571, 0.4880), Hg at (0.0000, 0.5000, 0.9664), Hg at (0.5000, 0.0000, 0.3603) and Hg at (0.5000, 0.2549, 0.8208).

***

7.
K3NaIn | PBE | relaxed

The total magnetization is 0.00 μB per cell. The value obtained for the density of states at the Fermi level is 2.769 states/eV/f.u. The formation energy comes out at -0.018 eV per atom.

The space group is P1 (No. 1) and the conventional cell measures 4.8140, 10.4261 and 10.9492 Å, with angles of 93.52, 90.02 and 103.11 degrees. Symmetry generates all atoms from K at (0.0000, 0.0000, 0.0000), K at (0.1302, 0.2619, 0.4505), K at (0.3111, 0.6234, 0.0295), K at (0.4611, 0.9284, 0.6566), K at (0.6689, 0.3340, 0.7937), K at (0.8187, 0.6384, 0.4205), Na at (0.4811, 0.9599, 0.2947), Na at (0.6487, 0.3008, 0.1556), In at (0.2826, 0.5651, 0.6727) and In at (0.8474, 0.6974, 0.7774).

***

8.
YSb2Pd | PBE | relaxed

The total magnetization is 0.00 μB per cell. The value obtained for the density of states at the Fermi level is 4.969 states/eV/f.u. The final energy is -86.5 eV for the cell shown.

The space group is Fm-3m (No. 225) and the conventional cell measures 7.2178, 7.2178 and 7.2178 Å, with angles of 90.00, 90.00 and 90.00 degrees. Symmetry generates all atoms from Y at (0.0000, 0.0000, 0.0000), Sb at (0.2500, 0.2500, 0.2500) and Pd at (0.0000, 0.0000, 0.5000).

***

9.
Sr3CaRh | PBE | relaxed

The total magnetization is 0.00 μB per cell. The value obtained for the density of states at the Fermi level is 3.980 states/eV/f.u. The formation energy comes out at 0.020 eV per atom.

The space group is Cmcm (No. 63) and the conventional cell measures 7.1246, 15.8288 and 6.7801 Å, with angles of 90.00, 90.00 and 90.00 degrees. Symmetry generates all atoms from Sr at (0.0000, 0.0000, 0.0000), Sr at (0.2483, 0.3062, 0.2500), Ca at (0.0000, 0.4248, 0.7500) and Rh at (0.0000, 0.1574, 0.2500).

***

10.
TaInRu | PBE | relaxed

The total magnetization is 0.01 μB per cell. The value obtained for the density of states at the Fermi level is 5.425 states/eV/f.u. The formation energy comes out at 0.198 eV per atom.

The space group is F-43m (No. 216) and the conventional cell measures 6.2370, 6.2370 and 6.2370 Å, with angles of 90.00, 90.00 and 90.00 degrees. Symmetry generates all atoms from Ta at (0.0000, 0.0000, 0.0000), In at (0.0000, 0.0000, 0.5000) and Ru at (0.2500, 0.2500, 0.7500).

***

11.
PaTl3Bi3S8 | PBE | relaxed

The total magnetization is 1.87 μB per cell. The value obtained for the density of states at the Fermi level is 4.735 states/eV/f.u. The final energy is -213.7 eV for the cell shown.

The space group is R-3m (No. 166, hexagonal axes) and the conventional cell measures 8.2051, 8.2051 and 22.8546 Å, with angles of 90.00, 90.00 and 120.00 degrees. Symmetry generates all atoms from Pa at (0.0000, 0.0000, 0.0000), Tl at (0.0000, 0.5000, 0.5000), Bi at (0.0000, 0.5000, 0.0000), S at (0.0000, 0.0000, 0.2635) and S at (0.0150, 0.5075, 0.7327).

***

12.
Na3Ni2AgH8 | PBE | relaxed

The total magnetization is 0.00 μB per cell. The value obtained for the density of states at the Fermi level is 4.745 states/eV/f.u. The final energy is -44.5 eV for the cell shown.

The space group is P-3m1 (No. 164) and the conventional cell measures 5.0376, 5.0376 and 6.6337 Å, with angles of 90.00, 90.00 and 120.00 degrees. Symmetry generates all atoms from Na at (0.0000, 0.0000, 0.0000), Na at (0.3333, 0.6667, 0.6512), Ni at (0.3333, 0.6667, 0.1984), Ag at (0.0000, 0.0000, 0.5000), H at (0.1775, 0.3550, 0.3270) and H at (0.3333, 0.6667, 0.9656).